Here is a relaxed PaNi2Pt4 crystal from Alexandria. Energies are from PBE-GGA.

Properties
Distance to the lowest polymorph of the same formula (meV/atom): 0
Raw total energy (eV per atom): -7.014

a b c (Å): 8.4127 6.6028 5.2437
angles (deg): 90.00 128.45 90.00
Last column: nearest neighbours and their distance in Å.
Space group C2/m (No. 12)
Inequivalent atoms, fractional coordinates:
Pa1 0.0000 0.0000 0.0000  4 Pt 2.74
Ni1 0.0000 0.5000 0.2501  2 Ni 2.62, 8 Pt 2.70-2.71
Pt1 0.2065 0.2062 0.7066  4 Ni 2.70-2.71, 4 Pt 2.72-2.75, 1 Pa 2.74